Entry 1:
Material: HfCoS2F
Method: DFT, GGA+U
State: optimized geometry

Cell: 5.047 5.047 3.777 Å, 90.00 90.00 90.00°
Space group P4/mmm (No. 123)
Symmetry-distinct sites (fractional):
Hf (0.000, 0.000, 0.000) [1 per cell]
Co (0.500, 0.500, 0.000) [1 per cell]
S (0.000, 0.500, 0.500) [2 per cell]
F (0.000, 0.000, 0.500) [1 per cell]

Results
* density of states at the Fermi level: 2.89 states/eV per cell
* total DFT energy (no corrections): -5.1873 eV/atom
* mass density: 5.532 Mg/m³
* total magnetization: 2.18 μB per cell

=====

Entry 2:
Material: Mg2ZnWO6
Method: DFT, GGA+U
State: optimized geometry

Cell: 5.2233 5.2233 14.1886 Å, 90.00 90.00 120.00°
Space group R3 (No. 146, hexagonal axes)
Symmetry-distinct sites (fractional):
Mg (0.0000, 0.0000, 0.0000) [3 per cell]
Mg (0.0000, 0.0000, 0.4968) [3 per cell]
Zn (0.0000, 0.0000, 0.2259) [3 per cell]
W (0.0000, 0.0000, 0.7010) [3 per cell]
O (0.0029, 0.3590, 0.4312) [9 per cell]
O (0.0029, 0.7104, 0.6058) [9 per cell]

Results
* density of states at the Fermi level: 0.00 states/eV per cell
* total DFT energy (no corrections): -6.3334 eV/atom
* mass density: 5.853 Mg/m³
* total magnetization: 0.00 μB per cell